TlCdP2O: single point on PBEsol structure, meta-GGA SCAN.

Fermi-level density of states in states/eV/f.u.: 4.63
Energy relative to the elements, uncorrected in eV/atom: 0.93
Mass density in Mg/m³: 6.08

Lattice parameters (Å, degrees): 5.170 5.170 4.033 90.00 90.00 90.00
Space group P4/mmm (No. 123)
Asymmetric unit:
1 Tl 0.000 0.000 0.000 x1
2 Cd 0.500 0.500 0.500 x1
3 P 0.000 0.500 0.000 x2
4 O 0.000 0.000 0.500 x1



V2CdP2O9: single point on PBEsol structure, meta-GGA SCAN.

Fermi-level density of states in states/eV/f.u.: 0.36
Energy relative to the elements, uncorrected in eV/atom: -2.46
Mass density in Mg/m³: 4.24

Lattice parameters (Å, degrees): 14.278 6.314 7.296 90.00 90.00 90.00
Space group Pnma (No. 62)
Asymmetric unit:
1 V 0.000 0.000 0.000 x4
2 V 0.118 0.250 0.344 x4
3 Cd 0.222 0.250 0.870 x4
4 P 0.066 0.750 0.362 x4
5 P 0.195 0.750 0.890 x4
6 O 0.009 0.250 0.494 x4
7 O 0.018 0.750 0.170 x4
8 O 0.051 0.250 0.134 x4
9 O 0.133 0.547 0.897 x8
10 O 0.134 0.559 0.372 x8
11 O 0.231 0.250 0.545 x4
12 O 0.245 0.250 0.213 x4



CdP2WO: single point on PBEsol structure, meta-GGA SCAN.

Fermi-level density of states in states/eV/f.u.: 3.23
Energy relative to the elements, uncorrected in eV/atom: 1.53
Mass density in Mg/m³: 6.99

Lattice parameters (Å, degrees): 4.831 4.831 3.809 90.00 90.00 90.00
Space group P4/mmm (No. 123)
Asymmetric unit:
1 Cd 0.000 0.000 0.000 x1
2 P 0.000 0.500 0.000 x2
3 W 0.500 0.500 0.500 x1
4 O 0.000 0.000 0.500 x1



CdPbO3: single point on PBEsol structure, meta-GGA SCAN.

Fermi-level density of states in states/eV/f.u.: 3.92
Energy relative to the elements, uncorrected in eV/atom: -0.42
Mass density in Mg/m³: 8.59

Lattice parameters (Å, degrees): 4.142 4.142 4.142 90.00 90.00 90.00
Space group Pm-3m (No. 221)
Asymmetric unit:
1 Cd 0.000 0.000 0.000 x1
2 Pb 0.500 0.500 0.500 x1
3 O 0.000 0.000 0.500 x3



CdPbO3: single point on PBEsol structure, meta-GGA SCAN.

Fermi-level density of states in states/eV/f.u.: 1.12
Energy relative to the elements, uncorrected in eV/atom: -1.05
Mass density in Mg/m³: 8.49

Lattice parameters (Å, degrees): 10.366 10.420 10.648 90.00 90.00 90.00
Space group Ibca (No. 73)
Asymmetric unit:
1 Cd 0.000 0.000 0.000 x8
2 Cd 0.250 0.217 0.000 x8
3 Pb 0.000 0.250 0.217 x8
4 Pb 0.214 0.000 0.750 x8
5 O 0.094 0.140 0.862 x16
6 O 0.133 0.098 0.148 x16
7 O 0.140 0.131 0.604 x16



CdPd2O3: single point on PBEsol structure, meta-GGA SCAN.

Fermi-level density of states in states/eV/f.u.: 3.19
Energy relative to the elements, uncorrected in eV/atom: -0.27
Mass density in Mg/m³: 7.26

Lattice parameters (Å, degrees): 4.532 4.532 4.156 90.00 90.00 90.00
Space group P4/mmm (No. 123)
Asymmetric unit:
1 Cd 0.000 0.000 0.000 x1
2 Pd 0.000 0.500 0.500 x2
3 O 0.000 0.000 0.500 x1
4 O 0.000 0.500 0.000 x2